1.
Here is a relaxed structure of ScAgTe2 from the Alexandria database. Energies are from PBE.

a = 5.0054 Å, b = 5.0054 Å, c = 3.7880 Å
α = 89.90°, β = 89.90°, γ = 89.98°
Closest atoms and distances in Å follow each position.
Atoms (fractional coordinates):
1 Te 0.0000 0.0000 0.0000  4 Sc 3.14, 4 Ag 3.14
2 Te 0.5000 0.5000 0.0000  4 Ag 3.14, 4 Sc 3.14
3 Ag 0.5000 0.0000 0.5000  8 Te 3.14
4 Sc 0.0000 0.5000 0.5000  8 Te 3.14

As for the density of states at the Fermi level: 0.3535 states/eV/atom. The uncorrected formation energy is -172 kJ/mol of formula units. The calculation puts the total energy at -4.31 eV per atom.

2.
Here is a relaxed structure of Sr2HgPt from the Alexandria database. Energies are from PBE.

a = 4.3774 Å, b = 4.3774 Å, c = 8.4431 Å
α = 75.07°, β = 75.07°, γ = 59.91°
Closest atoms and distances in Å follow each position.
Atoms (fractional coordinates):
1 Hg 0.2500 0.2500 0.2500  6 Sr 3.46
2 Pt 0.7500 0.7500 0.7500  6 Sr 3.03
3 Sr 0.0147 0.0147 0.9568  3 Pt 3.03
4 Sr 0.4853 0.4853 0.5432  3 Pt 3.03

As for the density of states at the Fermi level: 0.8754 states/eV/atom. For the energy of formation, the calculation gives -586 meV/atom. The calculation puts the total energy at -3.01 eV per atom.

3.
Here is a relaxed structure of Ca2Pr2Nd from the Alexandria database. Energies are from PBE.

a = 3.7462 Å, b = 3.7462 Å, c = 15.6635 Å
α = 90.04°, β = 90.04°, γ = 59.98°
Closest atoms and distances in Å follow each position.
Atoms (fractional coordinates):
1 Ca 0.3336 0.3336 0.6053  9 Ca 3.75-3.95, 3 Pr 3.88-3.89
2 Ca 0.6664 0.6664 0.3947  9 Ca 3.75-3.95, 3 Pr 3.88-3.89
3 Pr 0.6657 0.6657 0.8114  3 Nd 3.66, 6 Pr 3.75, 3 Ca 3.88-3.89
4 Pr 0.3343 0.3343 0.1886  3 Nd 3.66, 6 Pr 3.75, 3 Ca 3.88-3.89
5 Nd 0.0000 0.0000 0.0000  6 Pr 3.66, 6 Nd 3.75

As for the density of states at the Fermi level: 1.4959 states/eV/atom. For the energy above the most stable polymorph in this dataset, the calculation gives 0.000 eV/atom. For the energy of formation, the calculation gives 29 meV/atom. The calculation puts the total energy at -3.64 eV per atom.

4.
Here is a relaxed structure of MnSi from the Alexandria database. Energies are from PBE.

a = 4.7875 Å, b = 4.7875 Å, c = 4.7875 Å
α = 145.47°, β = 133.55°, γ = 59.15°
Closest atoms and distances in Å follow each position.
Atoms (fractional coordinates):
1 Mn 0.7510 0.2510 0.5000  6 Si 2.36-2.46, 2 Mn 2.51
2 Mn 0.9990 0.9990 0.0000  6 Si 2.36-2.46, 2 Mn 2.51
3 Si 0.2398 0.7398 0.5000  6 Mn 2.36-2.46
4 Si 0.5102 0.5102 0.0000  6 Mn 2.36-2.46

As for the density of states at the Fermi level: 0.7378 states/eV/atom. The uncorrected formation energy is -49 kJ/mol of formula units. The calculation puts the total energy at -7.55 eV per atom.

5.
Here is a relaxed structure of Sc2SbAu from the Alexandria database. Energies are from PBE.

a = 4.0439 Å, b = 4.0439 Å, c = 5.8003 Å
α = 90.00°, β = 90.00°, γ = 90.00°
Closest atoms and distances in Å follow each position.
Atoms (fractional coordinates):
1 Au 0.0000 0.0000 0.4094  6 Sc 2.79-3.01
2 Sc 0.0000 0.0000 0.9290  2 Au 2.79-3.01, 4 Sb 2.92
3 Sc 0.5000 0.5000 0.3307  4 Au 2.90, 2 Sb 2.90
4 Sb 0.5000 0.5000 0.8308  6 Sc 2.90-2.92

As for the density of states at the Fermi level: 1.1458 states/eV/atom. The uncorrected formation energy is -250 kJ/mol of formula units. The calculation puts the total energy at -5.66 eV per atom.

6.
Here is a relaxed structure of AcHg2Au4 from the Alexandria database. Energies are from PBE.

a = 5.7002 Å, b = 5.9875 Å, c = 5.9875 Å
α = 76.90°, β = 61.58°, γ = 61.58°
Closest atoms and distances in Å follow each position.
Atoms (fractional coordinates):
1 Au 0.6914 0.0000 0.6172  4 Au 2.85-3.11, 4 Hg 3.06
2 Au 0.3086 0.0000 0.3828  4 Au 2.85-3.11, 4 Hg 3.06
3 Au 0.3086 0.3828 0.0000  4 Au 2.85-3.11, 4 Hg 3.06
4 Au 0.6914 0.6172 0.0000  4 Au 2.85-3.11, 4 Hg 3.06
5 Hg 0.2500 0.5000 0.5000  2 Hg 2.85, 8 Au 3.06
6 Hg 0.7500 0.5000 0.5000  2 Hg 2.85, 8 Au 3.06
7 Ac 0.0000 0.0000 0.0000  12 Au 3.25-3.49

As for the density of states at the Fermi level: 0.3164 states/eV/atom. For the energy above the most stable polymorph in this dataset, the calculation gives 0.000 eV/atom. For the energy of formation, the calculation gives -395 meV/atom. The calculation puts the total energy at -2.94 eV per atom.